A plane-wave DFT calculation with PBE was carried out for a relaxed structure of AlZn4Rh5.

Unit cell a=3.0137 b=3.0137 c=15.1207 alpha=90.00 beta=90.00 gamma=90.00
Element x y z (fractional)
Al  0.0000  0.0000  0.0000
Zn  0.0000  0.0000  0.2002
Zn  0.0000  0.0000  0.3998
Zn  0.0000  0.0000  0.6002
Zn  0.0000  0.0000  0.7998
Rh  0.5000  0.5000  0.0966
Rh  0.5000  0.5000  0.2989
Rh  0.5000  0.5000  0.5000
Rh  0.5000  0.5000  0.7011
Rh  0.5000  0.5000  0.9034

Calculated values
DOS(E_F)	6.44	states/eV/f.u.
magnetic moment	0.0	μB per cell


A plane-wave DFT calculation with PBE was carried out for a relaxed structure of AlZn3Rh.

Unit cell a=4.6025 b=4.6025 c=4.6025 alpha=90.00 beta=90.00 gamma=90.00
Element x y z (fractional)
Zn  0.0000  0.5000  0.0000
Zn  0.0000  0.0000  0.5000
Zn  0.5000  0.0000  0.0000
Rh  0.5000  0.5000  0.5000
Al  0.0000  0.0000  0.0000

Calculated values
DOS(E_F)	3.58	states/eV/f.u.
magnetic moment	0.0	μB per cell


| no. | DFT total energy (eV/atom) |
| --- | --- |
| 1 | -5.1095 |
| 2 | -2.1225 |